(1)
A relaxed structure of Ca2AlHAu. Source: Alexandria, functional PBE.

Its density of states at the Fermi level is 2.4 states/eV/cell. For the final energy, the calculation gives -2.85 eV per atom. The value obtained for the volume is 155.8 Å³/cell.

Cell lengths 5.749, 5.749, 4.714 Å; angles 90.00, 90.00, 90.00 degrees
Space group P4/mmm (No. 123)
Symmetry-distinct sites (fractional):
1 Ca 0.000 0.500 0.000
2 Al 0.000 0.000 0.500
3 H 0.500 0.500 0.500
4 Au 0.000 0.000 0.000

(2)
A relaxed structure of CaAlHgAu. Source: Alexandria, functional PBE.

Its density of states at the Fermi level is 8.9 states/eV/cell. For the final energy, the calculation gives -2.74 eV per atom. The formation energy comes out at -0.408 eV per atom. The value obtained for the volume is 343.9 Å³/cell.

Cell lengths 7.006, 7.006, 7.006 Å; angles 90.00, 90.00, 90.00 degrees
Space group F-43m (No. 216)
Symmetry-distinct sites (fractional):
1 Ca 0.000 0.000 0.000
2 Al 0.000 0.000 0.500
3 Hg 0.250 0.250 0.750
4 Au 0.250 0.250 0.250

(3)
A relaxed structure of Ca2Al4HgAu3. Source: Alexandria, functional PBE.

Its density of states at the Fermi level is 4.1 states/eV/cell. For the final energy, the calculation gives -3.46 eV per atom. The formation energy comes out at -0.545 eV per atom. The value obtained for the volume is 210.6 Å³/cell.

Cell lengths 4.425, 4.425, 10.758 Å; angles 90.00, 90.00, 90.00 degrees
Space group P-4m2 (No. 115)
Symmetry-distinct sites (fractional):
1 Ca 0.000 0.500 0.248
2 Al 0.000 0.000 0.000
3 Al 0.000 0.500 0.638
4 Al 0.500 0.500 0.000
5 Hg 0.000 0.000 0.500
6 Au 0.000 0.500 0.871
7 Au 0.500 0.500 0.500

(4)
A relaxed structure of CaHoAlAu. Source: Alexandria, functional PBE.

Its density of states at the Fermi level is 14.8 states/eV/cell. For the final energy, the calculation gives -3.92 eV per atom. The formation energy comes out at -0.516 eV per atom. The value obtained for the volume is 382.9 Å³/cell.

Cell lengths 7.261, 7.261, 7.261 Å; angles 90.00, 90.00, 90.00 degrees
Space group F-43m (No. 216)
Symmetry-distinct sites (fractional):
1 Ca 0.000 0.000 0.000
2 Ho 0.000 0.000 0.500
3 Al 0.250 0.250 0.250
4 Au 0.250 0.250 0.750

(5)
A relaxed structure of Ca2HoAl3Au12. Source: Alexandria, functional PBE.

Its density of states at the Fermi level is 21.3 states/eV/cell. For the final energy, the calculation gives -3.53 eV per atom. The formation energy comes out at -0.242 eV per atom. The value obtained for the volume is 1277.1 Å³/cell.

Cell lengths 8.8167, 8.8167, 18.9708 Å; angles 90.00, 90.00, 120.00 degrees
Space group R-3m (No. 166, hexagonal axes)
Symmetry-distinct sites (fractional):
1 Ca 0.0000 0.0000 0.0967
2 Ho 0.0000 0.0000 0.5000
3 Al 0.0000 0.5000 0.0000
4 Au 0.0201 0.5100 0.3570
5 Au 0.0308 0.5154 0.8673

(6)
A relaxed structure of CaHoAl2Au5. Source: Alexandria, functional PBE.

Its density of states at the Fermi level is 3.7 states/eV/cell. For the final energy, the calculation gives -3.97 eV per atom. The formation energy comes out at -0.588 eV per atom. The value obtained for the volume is 183.0 Å³/cell.

Cell lengths 4.585, 4.585, 8.702 Å; angles 90.00, 90.00, 90.00 degrees
Space group P4/mmm (No. 123)
Symmetry-distinct sites (fractional):
1 Ca 0.000 0.000 0.000
2 Ho 0.000 0.000 0.500
3 Al 0.500 0.500 0.354
4 Au 0.000 0.500 0.233
5 Au 0.500 0.500 0.000

(7)
A relaxed structure of CaHo2AlAu4. Source: Alexandria, functional PBE.

Its density of states at the Fermi level is 12.9 states/eV/cell. For the final energy, the calculation gives -4.26 eV per atom. The formation energy comes out at -0.755 eV per atom. The value obtained for the volume is 516.9 Å³/cell.

Cell lengths 4.9398, 4.9398, 24.4585 Å; angles 90.00, 90.00, 120.00 degrees
Space group R-3m (No. 166, hexagonal axes)
Symmetry-distinct sites (fractional):
1 Ca 0.0000 0.0000 0.0000
2 Ho 0.0000 0.0000 0.2453
3 Al 0.0000 0.0000 0.5000
4 Au 0.0000 0.0000 0.1251
5 Au 0.0000 0.0000 0.3851

(8)
A relaxed structure of CaAlIn2Au4. Source: Alexandria, functional PBE.

Its density of states at the Fermi level is 9.0 states/eV/cell. For the final energy, the calculation gives -3.44 eV per atom. The formation energy comes out at -0.399 eV per atom. The value obtained for the volume is 505.4 Å³/cell.

Cell lengths 4.7079, 4.7079, 26.3282 Å; angles 90.00, 90.00, 120.00 degrees
Space group R-3m (No. 166, hexagonal axes)
Symmetry-distinct sites (fractional):
1 Ca 0.0000 0.0000 0.0000
2 Al 0.0000 0.0000 0.5000
3 In 0.0000 0.0000 0.2544
4 Au 0.0000 0.0000 0.1419
5 Au 0.0000 0.0000 0.3959

(9)
A relaxed structure of Ca2Al3InAu4. Source: Alexandria, functional PBE.

Its density of states at the Fermi level is 4.4 states/eV/cell. For the final energy, the calculation gives -3.70 eV per atom. The formation energy comes out at -0.594 eV per atom. The value obtained for the volume is 215.2 Å³/cell.

Cell lengths 4.434, 4.434, 10.946 Å; angles 90.00, 90.00, 90.00 degrees
Space group P-4m2 (No. 115)
Symmetry-distinct sites (fractional):
1 Ca 0.000 0.500 0.244
2 Al 0.000 0.500 0.878
3 Al 0.500 0.500 0.500
4 In 0.000 0.000 0.500
5 Au 0.000 0.000 0.000
6 Au 0.000 0.500 0.650
7 Au 0.500 0.500 0.000

(10)
A relaxed structure of CaAlIn2Au5. Source: Alexandria, functional PBE.

Its density of states at the Fermi level is 6.6 states/eV/cell. For the final energy, the calculation gives -3.37 eV per atom. The formation energy comes out at -0.304 eV per atom. The value obtained for the volume is 423.6 Å³/cell.

Cell lengths 4.911, 5.862, 14.713 Å; angles 90.00, 90.00, 90.00 degrees
Space group Immm (No. 71)
Symmetry-distinct sites (fractional):
1 Ca 0.000 0.000 0.000
2 Al 0.000 0.000 0.500
3 In 0.000 0.500 0.192
4 Au 0.000 0.262 0.360
5 Au 0.000 0.500 0.000

(11)
A relaxed structure of Ca2AlInAu6. Source: Alexandria, functional PBE.

Its density of states at the Fermi level is 3.3 states/eV/cell. For the final energy, the calculation gives -3.45 eV per atom. The formation energy comes out at -0.435 eV per atom. The value obtained for the volume is 255.0 Å³/cell.

Cell lengths 5.846, 5.940, 8.912 Å; angles 72.39, 72.06, 61.82 degrees
Space group P-1 (No. 2)
Symmetry-distinct sites (fractional):
1 Ca 0.201 0.199 0.396
2 Al 0.500 0.500 0.500
3 In 0.000 0.000 0.000
4 Au 0.240 0.740 0.271
5 Au 0.256 0.259 0.728
6 Au 0.258 0.764 0.727

(12)
A relaxed structure of CaLa2Al3Au4. Source: Alexandria, functional PBE.

Its density of states at the Fermi level is 6.5 states/eV/cell. For the final energy, the calculation gives -4.30 eV per atom. The formation energy comes out at -0.682 eV per atom. The value obtained for the volume is 230.3 Å³/cell.

Cell lengths 4.579, 4.579, 10.982 Å; angles 90.00, 90.00, 90.00 degrees
Space group P-4m2 (No. 115)
Symmetry-distinct sites (fractional):
1 Ca 0.000 0.000 0.000
2 La 0.000 0.500 0.724
3 Al 0.000 0.500 0.382
4 Al 0.500 0.500 0.000
5 Au 0.000 0.000 0.500
6 Au 0.000 0.500 0.153
7 Au 0.500 0.500 0.500

(13)
A relaxed structure of LiCaAlAu2. Source: Alexandria, functional PBE.

Its density of states at the Fermi level is 4.0 states/eV/cell. For the final energy, the calculation gives -3.49 eV per atom. The formation energy comes out at -0.643 eV per atom. The value obtained for the volume is 203.7 Å³/cell.

Cell lengths 4.103, 4.103, 12.097 Å; angles 90.00, 90.00, 90.00 degrees
Space group I-4m2 (No. 119)
Symmetry-distinct sites (fractional):
1 Li 0.000 0.000 0.000
2 Ca 0.000 0.500 0.750
3 Al 0.000 0.000 0.500
4 Au 0.000 0.500 0.133

(14)
A relaxed structure of LiCa2Al3Au4. Source: Alexandria, functional PBE.

Its density of states at the Fermi level is 5.0 states/eV/cell. For the final energy, the calculation gives -3.65 eV per atom. The formation energy comes out at -0.628 eV per atom. The value obtained for the volume is 206.7 Å³/cell.

Cell lengths 4.448, 4.448, 10.447 Å; angles 90.00, 90.00, 90.00 degrees
Space group P-4m2 (No. 115)
Symmetry-distinct sites (fractional):
1 Li 0.000 0.000 0.000
2 Ca 0.000 0.500 0.747
3 Al 0.000 0.500 0.372
4 Al 0.500 0.500 0.000
5 Au 0.000 0.000 0.500
6 Au 0.000 0.500 0.132
7 Au 0.500 0.500 0.500

(15)
A relaxed structure of LiCa2AlAu6. Source: Alexandria, functional PBE.

Its density of states at the Fermi level is 3.3 states/eV/cell. For the final energy, the calculation gives -3.45 eV per atom. The formation energy comes out at -0.513 eV per atom. The value obtained for the volume is 221.5 Å³/cell.

Cell lengths 5.536, 6.755, 7.056 Å; angles 83.10, 67.06, 65.82 degrees
Space group P-1 (No. 2)
Symmetry-distinct sites (fractional):
1 Li 0.000 0.000 0.000
2 Ca 0.463 0.279 0.796
3 Al 0.000 0.500 0.500
4 Au 0.004 0.735 0.760
5 Au 0.139 0.108 0.614
6 Au 0.499 0.265 0.241

(16)
A relaxed structure of LiCaAlAu. Source: Alexandria, functional PBE.

Its density of states at the Fermi level is 11.9 states/eV/cell. For the final energy, the calculation gives -3.19 eV per atom. The formation energy comes out at -0.457 eV per atom. The value obtained for the volume is 313.1 Å³/cell.

Cell lengths 6.790, 6.790, 6.790 Å; angles 90.00, 90.00, 90.00 degrees
Space group F-43m (No. 216)
Symmetry-distinct sites (fractional):
1 Li 0.000 0.000 0.000
2 Ca 0.250 0.250 0.750
3 Al 0.250 0.250 0.250
4 Au 0.000 0.000 0.500

(17)
A relaxed structure of Li2CaAlAu. Source: Alexandria, functional PBE.

Its density of states at the Fermi level is 1.9 states/eV/cell. For the final energy, the calculation gives -2.81 eV per atom. The formation energy comes out at -0.241 eV per atom. The value obtained for the volume is 117.4 Å³/cell.

Cell lengths 4.918, 4.918, 4.854 Å; angles 90.00, 90.00, 90.00 degrees
Space group P4/mmm (No. 123)
Symmetry-distinct sites (fractional):
1 Li 0.000 0.500 0.000
2 Ca 0.000 0.000 0.500
3 Al 0.500 0.500 0.500
4 Au 0.500 0.500 0.000

(18)
A relaxed structure of LiCaAlAu6. Source: Alexandria, functional PBE.

Its density of states at the Fermi level is 11.2 states/eV/cell. For the final energy, the calculation gives -3.33 eV per atom. The formation energy comes out at -0.298 eV per atom. The value obtained for the volume is 754.0 Å³/cell.

Cell lengths 5.517, 9.687, 14.108 Å; angles 90.00, 90.00, 90.00 degrees
Space group Imma (No. 74)
Symmetry-distinct sites (fractional):
1 Li 0.250 0.250 0.250
2 Ca 0.000 0.250 0.661
3 Al 0.000 0.000 0.000
4 Au 0.000 0.250 0.436
5 Au 0.000 0.250 0.934
6 Au 0.249 0.021 0.350

(19)
A relaxed structure of LiCaAl2Au2. Source: Alexandria, functional PBE.

Its density of states at the Fermi level is 1.8 states/eV/cell. For the final energy, the calculation gives -3.61 eV per atom. The formation energy comes out at -0.621 eV per atom. The value obtained for the volume is 117.3 Å³/cell.

Cell lengths 4.4902, 4.4902, 6.7195 Å; angles 90.00, 90.00, 120.00 degrees
Space group P-3m1 (No. 164)
Symmetry-distinct sites (fractional):
1 Li 0.0000 0.0000 0.0000
2 Ca 0.0000 0.0000 0.5000
3 Al 0.3333 0.6667 0.1797
4 Au 0.3333 0.6667 0.7847

(20)
A relaxed structure of CaMgAlAu. Source: Alexandria, functional PBE.

Its density of states at the Fermi level is 5.5 states/eV/cell. For the final energy, the calculation gives -3.02 eV per atom. The formation energy comes out at -0.364 eV per atom. The value obtained for the volume is 342.3 Å³/cell.

Cell lengths 6.995, 6.995, 6.995 Å; angles 90.00, 90.00, 90.00 degrees
Space group F-43m (No. 216)
Symmetry-distinct sites (fractional):
1 Ca 0.000 0.000 0.000
2 Mg 0.000 0.000 0.500
3 Al 0.250 0.250 0.250
4 Au 0.250 0.250 0.750

(21)
A relaxed structure of CaMg2Al2Au2. Source: Alexandria, functional PBE.

Its density of states at the Fermi level is 6.0 states/eV/cell. For the final energy, the calculation gives -3.26 eV per atom. The formation energy comes out at -0.511 eV per atom. The value obtained for the volume is 438.8 Å³/cell.

Cell lengths 4.5171, 4.5171, 24.8309 Å; angles 90.00, 90.00, 120.00 degrees
Space group R-3m (No. 166, hexagonal axes)
Symmetry-distinct sites (fractional):
1 Ca 0.0000 0.0000 0.0000
2 Mg 0.0000 0.0000 0.1348
3 Al 0.0000 0.0000 0.4137
4 Au 0.0000 0.0000 0.2488

(22)
A relaxed structure of CaMgAlAu2. Source: Alexandria, functional PBE.

Its density of states at the Fermi level is 5.1 states/eV/cell. For the final energy, the calculation gives -3.40 eV per atom. The formation energy comes out at -0.623 eV per atom. The value obtained for the volume is 216.8 Å³/cell.

Cell lengths 4.235, 4.235, 12.089 Å; angles 90.00, 90.00, 90.00 degrees
Space group I-4m2 (No. 119)
Symmetry-distinct sites (fractional):
1 Ca 0.000 0.000 0.000
2 Mg 0.000 0.500 0.750
3 Al 0.000 0.500 0.250
4 Au 0.000 0.000 0.385

(23)
A relaxed structure of CaMgAl2Au2. Source: Alexandria, functional PBE.

Its density of states at the Fermi level is 1.6 states/eV/cell. For the final energy, the calculation gives -3.53 eV per atom. The formation energy comes out at -0.591 eV per atom. The value obtained for the volume is 123.1 Å³/cell.

Cell lengths 4.4854, 4.4854, 7.0636 Å; angles 90.00, 90.00, 120.00 degrees
Space group P-3m1 (No. 164)
Symmetry-distinct sites (fractional):
1 Ca 0.0000 0.0000 0.0000
2 Mg 0.0000 0.0000 0.5000
3 Al 0.3333 0.6667 0.7032
4 Au 0.3333 0.6667 0.2939

(24)
A relaxed structure of Ca2MgAl3Au12. Source: Alexandria, functional PBE.

Its density of states at the Fermi level is 19.9 states/eV/cell. For the final energy, the calculation gives -3.34 eV per atom. The formation energy comes out at -0.219 eV per atom. The value obtained for the volume is 1234.9 Å³/cell.

Cell lengths 8.6782, 8.6782, 18.9342 Å; angles 90.00, 90.00, 120.00 degrees
Space group R-3m (No. 166, hexagonal axes)
Symmetry-distinct sites (fractional):
1 Ca 0.0000 0.0000 0.1052
2 Mg 0.0000 0.0000 0.5000
3 Al 0.0000 0.5000 0.0000
4 Au 0.0109 0.5054 0.8676
5 Au 0.0199 0.5099 0.3676